Computed, not measured: crystalline MnZnIrO6 at its relaxed geometry at the GGA+U level of DFT.

Unit cell a=5.0494 b=5.0494 c=8.8882 alpha=90.00 beta=90.00 gamma=120.00
Positions (direct):
Mn 0.3333 0.6667 0.2500
Mn 0.6667 0.3333 0.7500
O 0.3551 0.3518 0.8674
O 0.9966 0.6449 0.8674
O 0.6449 0.9966 0.3674
O 0.9966 0.3518 0.6326
O 0.3518 0.9966 0.1326
O 0.3551 0.0034 0.6326
O 0.6482 0.6449 0.6326
O 0.0034 0.6482 0.3674
O 0.0034 0.3551 0.1326
O 0.6482 0.0034 0.8674
O 0.6449 0.6482 0.1326
O 0.3518 0.3551 0.3674
Zn 0.0000 0.0000 0.0000
Zn 0.0000 0.0000 0.5000
Ir 0.6667 0.3333 0.2500
Ir 0.3333 0.6667 0.7500

## Properties
space group	No. 163
N(E_F)	0.6458	states/eV/atom
V	196.3	Å³ per cell
calculated total energy	-6.2169	eV/atom